Here is crystalline CdCo2Cu2 at its relaxed geometry from the Alexandria database. Energies are from PBE.

Cell and atoms, written as extended XYZ:
```
10
Lattice="-1.650 5.740 3.920 -3.313 -4.191 4.743 2.279 -0.270 1.354" Properties=species:S:1:pos:R:3 pbc="T T T"
Co -3.574 -1.497 5.719
Co -3.495 2.516 6.385
Co -1.389 3.046 2.945
Co -1.468 -0.967 2.278
Cu -1.405 -1.953 4.599
Cu -2.701 0.322 7.233
Cu -1.278 3.233 5.418
Cu 0.017 0.958 2.784
Cd 0.000 0.000 0.000
Cd -2.481 0.774 4.332
```

Results
The value obtained for the energy relative to the lowest polymorph listed for this composition is 0 meV/atom. The total magnetization comes out at 3.15 μB/f.u. For the volume, the calculation gives 13.6 A^3/atom. The value obtained for the formation energy is 0.31 eV per atom.